Record 1
YMo4 | PBE-GGA | relaxed

Lattice parameters (Å, degrees): 4.6922 4.6922 4.6922 90.00 90.00 90.00
Last column: nearest neighbours and their distance in Å.
Sites, in units of the cell vectors:
Y  0.0000  0.0000  0.0000  6 Mo 2.35
Mo  0.0000  0.0000  0.5000  2 Y 2.35
Mo  0.0000  0.5000  0.0000  2 Y 2.35
Mo  0.5000  0.0000  0.0000  2 Y 2.35
Mo  0.5000  0.5000  0.5000  12 Mo 3.32

Values from the calculation:
Formation enthalpy at 0 K ... 2.70 eV per atom
Electronic total energy ... -7.262 eV per atom
Total magnetization ... 0.00 μB/cell
Polymorph energy (0 for the lowest one) ... 2.453 eV/atom

Record 2
SiSb | PBE-GGA | relaxed

Lattice parameters (Å, degrees): 3.4912 3.4912 3.4912 90.00 90.00 90.00
Last column: nearest neighbours and their distance in Å.
Sites, in units of the cell vectors:
Si  0.0000  0.0000  0.0000  8 Sb 3.02
Sb  0.5000  0.5000  0.5000  8 Si 3.02

Values from the calculation:
Formation energy without anion corrections ... 527 meV/atom
Electronic total energy ... -4.246 eV per atom
Total magnetization ... 0.00 μB/cell

Record 3
AlCr2Ru | PBE-GGA | relaxed

Lattice parameters (Å, degrees): 2.9138 4.4322 8.0966 90.00 90.00 90.00
Last column: nearest neighbours and their distance in Å.
Sites, in units of the cell vectors:
Al  0.0000  0.0000  0.0000  2 Ru 2.55, 2 Cr 2.57, 4 Al 2.65
Al  0.5000  0.5000  0.0000  2 Ru 2.55, 2 Cr 2.57, 4 Al 2.65
Cr  0.0000  0.0000  0.5159  2 Cr 2.32, 2 Ru 2.54
Cr  0.0000  0.5000  0.7389  2 Cr 2.32, 2 Al 2.57
Cr  0.5000  0.0000  0.7389  2 Cr 2.32, 2 Al 2.57
Cr  0.5000  0.5000  0.5159  2 Cr 2.32, 2 Ru 2.54
Ru  0.0000  0.5000  0.2583  2 Cr 2.54, 2 Al 2.55, 4 Ru 2.65
Ru  0.5000  0.0000  0.2583  2 Cr 2.54, 2 Al 2.55, 4 Ru 2.65

Values from the calculation:
Formation enthalpy at 0 K ... 0.03 eV per atom
Electronic total energy ... -8.033 eV per atom
Total magnetization ... 0.00 μB/cell

Record 4
Th2UHg | PBE-GGA | relaxed

Lattice parameters (Å, degrees): 3.9084 3.9084 7.1743 90.00 90.00 90.00
Last column: nearest neighbours and their distance in Å.
Sites, in units of the cell vectors:
Th  0.0000  0.0000  0.2422  4 U 3.26, 4 Hg 3.33, 1 Th 3.47
Th  0.0000  0.0000  0.7578  4 U 3.26, 4 Hg 3.33, 1 Th 3.47
U  0.5000  0.5000  0.0000  8 Th 3.26, 2 Hg 3.59
Hg  0.5000  0.5000  0.5000  8 Th 3.33, 2 U 3.59

Values from the calculation:
Formation enthalpy at 0 K ... 0.18 eV per atom
Electronic total energy ... -6.427 eV per atom
Total magnetization ... 2.19 μB/cell
Polymorph energy (0 for the lowest one) ... 0.120 eV/atom